Here is YMg2Se after structural relaxation from Alexandria. Energies are from PBE-GGA.

The volume comes out at 101.88 Å³/f.u. The energy relative to the elements, uncorrected is -435 meV per atom. The density of states at the Fermi level is 2.288 states/eV per cell. For the raw total energy, the calculation gives -3.719 eV per atom.

Lattice parameters (Å, degrees): 5.4350 5.4350 3.8419 90.00 90.00 116.14
Closest atoms and distances in Å follow each position.
Fractional positions:
Mg 0.0000 0.0000 0.0000  2 Mg 2.87
Mg 0.5000 0.5000 0.0000  2 Mg 2.87
Y 0.0000 0.5000 0.5000  2 Se 2.87
Se 0.5000 0.0000 0.5000  2 Y 2.87

***

Here is CuOs3N after structural relaxation from Alexandria. Energies are from PBE-GGA.

The energy relative to the lowest polymorph listed for this composition is 0 meV/atom. The volume comes out at 65.11 Å³/f.u. The energy relative to the elements, uncorrected is 784 meV per atom. The density of states at the Fermi level is 5.497 states/eV per cell. For the raw total energy, the calculation gives -8.438 eV per atom.

Lattice parameters (Å, degrees): 4.0230 4.0230 4.0230 90.00 90.00 90.00
Closest atoms and distances in Å follow each position.
Fractional positions:
Cu 0.5000 0.5000 0.5000  12 Os 2.84
Os 0.5000 0.0000 0.0000  2 N 2.01
Os 0.0000 0.5000 0.0000  2 N 2.01
Os 0.0000 0.0000 0.5000  2 N 2.01
N 0.0000 0.0000 0.0000  6 Os 2.01

***

Here is CaCePt2 after structural relaxation from Alexandria. Energies are from PBE-GGA.

The energy relative to the lowest polymorph listed for this composition is 0 meV/atom. The volume comes out at 92.89 Å³/f.u. For the calculated formation energy, the calculation gives -1.015 eV per atom. The density of states at the Fermi level is 6.550 states/eV per cell. For the raw total energy, the calculation gives -6.019 eV per atom.

Lattice parameters (Å, degrees): 3.8764 4.4520 5.7202 90.00 109.79 90.00
Closest atoms and distances in Å follow each position.
Fractional positions:
Ce 0.7200 0.0000 0.9787  7 Pt 2.99-3.08
Pt 0.9974 0.0000 0.5338  2 Pt 2.90, 3 Ce 2.99-3.08, 4 Ca 3.01
Pt 0.1700 0.5000 0.8794  2 Pt 2.90, 3 Ca 2.94-3.12, 4 Ce 3.00
Ca 0.4436 0.5000 0.4261  7 Pt 2.94-3.12

***

Question: Number 1 is which compound?
Answer: YMg2Se

***

Question: raw total energy of number 2 (CuOs3N)?
Answer: -8.438 eV per atom